8
Lattice="-1.380 -0.454 3.901 5.741 -4.084 1.556 1.574 6.951 1.366" Properties=species:S:1:pos:R:3 comment="La2TbZrAs4 PBE optimized geometry" e_form_mev_per_atom=-1443.4 dft_energy_ev_per_atom=-6.65 volume_a3_per_cell=206 pbc="T T T"
La 0.097 3.249 2.633
La 3.658 1.434 1.461
Tb 2.181 -2.269 2.728
Zr 0.000 0.000 0.000
As 1.010 0.388 2.623
As 4.926 2.025 4.199
As 2.632 4.337 1.436
As 4.683 -1.469 1.486

=====

16
Lattice="-0.656 -1.227 6.315 7.291 0.484 0.851 -0.867 9.856 1.825" Properties=species:S:1:pos:R:3 comment="Pr2SmRh PBE optimized geometry" e_form_mev_per_atom=-416.6 dft_energy_ev_per_atom=-5.82 volume_a3_per_cell=479 pbc="T T T"
Pr 4.762 0.773 1.764
Pr 0.692 3.954 3.032
Pr 1.324 4.718 6.557
Pr 4.757 8.781 6.630
Pr 1.005 8.340 7.227
Pr 5.076 5.159 5.959
Pr 4.444 4.395 2.434
Pr 1.011 0.332 2.361
Sm 3.264 1.925 5.021
Sm -0.512 1.439 5.850
Sm 2.504 7.188 3.970
Sm 6.280 7.674 3.141
Rh 2.488 2.571 1.161
Rh 5.886 2.349 3.975
Rh 3.280 6.541 7.830
Rh -0.118 6.763 5.016

=====

4
Lattice="4.696 0.000 0.000 0.000 4.696 0.000 0.000 0.000 4.696" Properties=species:S:1:pos:R:3 comment="ErPa3 PBE optimized geometry" e_form_mev_per_atom=163.2 dft_energy_ev_per_atom=-8.10 volume_a3_per_cell=104 pbc="T T T"
Pa 0.000 2.348 2.348
Pa 2.348 0.000 2.348
Pa 2.348 2.348 0.000
Er 0.000 0.000 0.000

=====

4
Lattice="6.296 -0.004 0.000 2.651 5.711 0.000 -4.473 -2.853 3.389" Properties=species:S:1:pos:R:3 comment="K2MgNi PBE optimized geometry" e_form_mev_per_atom=637.4 dft_energy_ev_per_atom=-1.76 volume_a3_per_cell=122 pbc="T T T"
K 0.000 0.000 0.000
K 4.473 2.853 0.000
Mg 1.325 2.855 1.694
Ni 3.148 -0.002 1.694

=====

8
Lattice="3.322 0.000 0.000 0.000 5.736 0.096 0.000 -2.011 5.585" Properties=species:S:1:pos:R:3 comment="HfU2NbC4 PBE optimized geometry" e_form_mev_per_atom=-486.6 dft_energy_ev_per_atom=-10.42 volume_a3_per_cell=107 pbc="T T T"
Hf 1.661 2.868 0.048
U 1.661 -1.005 2.793
U 0.000 1.863 2.840
Nb 0.000 0.000 0.000
C 1.661 0.913 1.331
C 1.661 2.812 4.350
C 0.000 -0.101 4.292
C 0.000 3.826 1.389

=====

18
Lattice="12.990 4.303 3.052 10.157 9.171 3.052 10.157 5.912 7.646" Properties=species:S:1:pos:R:3 comment="Pu2Ga3PdAu12 PBE optimized geometry" e_form_mev_per_atom=-147.9 dft_energy_ev_per_atom=-4.72 volume_a3_per_cell=375 pbc="T T T"
Pu 21.656 12.606 8.941
Pu 11.648 6.780 4.809
Ga 6.495 2.151 1.526
Ga 5.078 4.585 1.526
Ga 5.078 2.956 3.823
Pd 0.000 0.000 0.000
Au 17.955 10.451 9.105
Au 24.481 14.250 8.388
Au 23.070 15.051 10.676
Au 19.343 9.663 6.854
Au 24.481 12.628 10.676
Au 17.955 12.048 6.854
Au 15.349 8.934 4.645
Au 8.823 5.136 5.362
Au 10.234 4.335 3.074
Au 13.961 9.723 6.896
Au 8.823 6.758 3.074
Au 15.349 7.338 6.896

=====

5
Lattice="-0.552 1.207 4.534 1.687 -4.209 1.326 4.548 1.842 0.063" Properties=species:S:1:pos:R:3 comment="NbFeSe2Br PBE optimized geometry" dft_energy_ev_per_atom=-4.87 volume_a3_per_cell=110 e_form_raw_ev_per_atom=0.5644 pbc="T T T"
Nb 2.841 -0.580 2.961
Se 0.843 -2.105 0.663
Se -0.276 0.603 2.267
Br 2.274 0.921 0.032
Fe 0.000 0.000 0.000

=====

4
Lattice="9.421 0.013 0.008 8.963 2.903 0.008 8.963 1.422 2.531" Properties=species:S:1:pos:R:3 comment="CaPt2Rh PBE optimized geometry" e_form_mev_per_atom=-3.3 dft_energy_ev_per_atom=-5.36 volume_a3_per_cell=69 pbc="T T T"
Ca 20.511 3.253 1.910
Rh 6.837 1.084 0.637
Pt 27.278 4.327 2.540
Pt 13.743 2.180 1.280

=====

12
Lattice="7.008 0.139 -1.139 3.407 6.125 -1.139 1.593 0.958 8.251" Properties=species:S:1:pos:R:3 comment="La3PrInCu PBE optimized geometry" e_form_mev_per_atom=-150.6 dft_energy_ev_per_atom=-4.55 volume_a3_per_cell=365 pbc="T T T"
La 3.275 1.970 4.242
La 4.344 4.673 6.463
La 6.164 1.648 6.463
La 5.843 5.575 -0.490
La 7.663 2.550 -0.490
La 8.732 5.253 1.732
Pr 5.145 5.038 2.987
Pr 6.862 2.185 2.987
In 7.827 4.708 4.953
In 4.180 2.515 1.020
Cu 2.039 1.227 6.813
Cu 9.968 5.996 -0.840

=====

12
Lattice="-5.225 3.207 1.718 -1.890 0.108 -5.949 -2.293 -5.155 2.648" Properties=species:S:1:pos:R:3 comment="SnPOs PBE optimized geometry" e_form_mev_per_atom=-74.2 dft_energy_ev_per_atom=-6.96 volume_a3_per_cell=236 pbc="T T T"
Sn -5.084 -2.010 -2.774
Sn -4.324 0.170 1.191
Sn -2.593 -0.258 -4.541
Sn -6.815 -1.582 2.957
P -2.768 0.310 -1.174
P -6.640 -2.149 -0.409
P -6.345 0.951 -1.453
P -3.063 -2.790 -0.130
Os -8.021 -0.351 -0.586
Os -4.457 0.743 -2.704
Os -1.387 -1.489 -0.998
Os -4.951 -2.583 1.121

=====

4
Lattice="-4.820 -3.821 0.525 3.013 0.675 3.879 -2.190 0.885 1.545" Properties=species:S:1:pos:R:3 comment="Zn2WCl PBE optimized geometry" dft_energy_ev_per_atom=-3.95 volume_a3_per_cell=64 e_form_raw_ev_per_atom=0.3866 pbc="T T T"
Cl 0.411 0.780 2.712
W -0.903 -1.573 2.202
Zn 0.000 0.000 0.000
Zn -3.505 -1.468 1.035

=====

20
Lattice="-8.018 0.506 -3.900 -3.291 -6.832 4.716 -3.321 5.322 6.355" Properties=species:S:1:pos:R:3 comment="Pr7Sm12Y PBE optimized geometry" e_form_mev_per_atom=219.5 dft_energy_ev_per_atom=-4.61 volume_a3_per_cell=709 pbc="T T T"
Pr -11.835 1.211 5.391
Pr -3.952 0.473 -0.204
Pr -2.457 1.110 2.935
Pr -7.315 -0.501 3.586
Pr -12.173 -2.113 4.236
Pr -10.678 -1.476 7.376
Pr -2.795 -2.214 1.780
Sm -10.080 2.573 2.468
Sm -7.391 -0.718 -0.692
Sm -7.026 2.025 1.369
Sm -9.880 -0.977 1.446
Sm -5.170 3.122 4.376
Sm -8.193 2.245 5.338
Sm -6.437 -3.248 1.834
Sm -9.460 -4.125 2.796
Sm -4.750 -0.026 5.725
Sm -7.604 -3.028 5.803
Sm -7.239 -0.285 7.863
Sm -4.550 -3.576 4.704
Y 0.000 0.000 0.000

=====

Repeat the seventh record exactly.
5
Lattice="-0.552 1.207 4.534 1.687 -4.209 1.326 4.548 1.842 0.063" Properties=species:S:1:pos:R:3 comment="NbFeSe2Br PBE optimized geometry" dft_energy_ev_per_atom=-4.87 volume_a3_per_cell=110 e_form_raw_ev_per_atom=0.5644 pbc="T T T"
Nb 2.841 -0.580 2.961
Se 0.843 -2.105 0.663
Se -0.276 0.603 2.267
Br 2.274 0.921 0.032
Fe 0.000 0.000 0.000

=====

Number 12 is which compound? Pr7Sm12Y